First-principles (SCAN) data for Li2In3 at its PBEsol-relaxed geometry, as listed in Alexandria via LeMat-Bulk.

Lattice parameters (Å, degrees): 3.242 3.242 12.003 82.24 82.24 60.00
Atoms (fractional coordinates):
In  0.000  0.000  0.000
In  0.203  0.203  0.391
In  0.797  0.797  0.609
Li  0.601  0.601  0.198
Li  0.399  0.399  0.802

## Properties
DFT formation energy: -0.19 eV per atom
D(E_F): 0.376 states/eV per atom
polymorph energy (0 for the lowest one): 32 kJ/mol of formula units
magnetization: 0.00 μB/f.u.
total DFT energy (no corrections): -21.18 eV per atom